Compound: LiTa2As
Source: Alexandria
Functional: PBE
Structure: optimized geometry

Properties
Energy of formation from the pure elements   0.1007 eV/atom
Total energy   -29.87 eV for the cell shown

Unit cell a=4.6576 b=2.8125 c=5.2045 alpha=88.58 beta=90.00 gamma=90.00
Closest atoms and distances in Å follow each position.
Fractional positions:
Ta: 0.0000 0.0549 0.9932  4 Ta 2.73-2.92, 2 As 2.75, 2 Li 2.80
Ta: 0.0000 0.4451 0.5068  4 Ta 2.73-2.92, 2 As 2.75, 2 Li 2.80
As: 0.5000 0.2500 0.2500  4 Ta 2.75, 2 As 2.81, 4 Li 2.93-2.99
Li: 0.5000 0.7500 0.7500  4 Ta 2.80, 2 Li 2.81, 4 As 2.93-2.99